Density functional theory data (GGA-PBE) for a geometry-optimized KZrHgBi2 structure.

Raw total energy ... -3.675 eV per atom
Volume ... 189.4 Å³ per cell

Cell and atoms, written as CIF:
```
data_KZrHgBi2
_chemical_formula_sum 'K1 Zr1 Hg1 Bi2'
_cell_length_a 5.7006
_cell_length_b 5.7006
_cell_length_c 5.8289
_cell_angle_alpha 90.00
_cell_angle_beta 90.00
_cell_angle_gamma 90.00
_space_group_name_H-M_alt 'P 4/m m m'
_space_group_IT_number 123
_space_group_name_Hall '-P 4 2'
loop_
_atom_site_label
_atom_site_fract_x
_atom_site_fract_y
_atom_site_fract_z
_atom_site_occupancy
K1 0.0000 0.0000 0.0000 1
Zr1 0.5000 0.5000 0.5000 1
Hg1 0.5000 0.5000 0.0000 1
Bi1 0.0000 0.5000 0.5000 1
```

---

Density functional theory data (GGA-PBE) for a geometry-optimized MgMn2Ag structure.

Raw total energy ... -5.410 eV per atom
Volume ... 132.4 Å³ per cell

Cell and atoms, written as CIF:
```
data_MgMn2Ag
_chemical_formula_sum 'Mg2 Mn4 Ag2'
_cell_length_a 3.6469
_cell_length_b 4.1926
_cell_length_c 8.6562
_cell_angle_alpha 90.00
_cell_angle_beta 90.00
_cell_angle_gamma 90.00
_space_group_name_H-M_alt 'I m m m'
_space_group_IT_number 71
_space_group_name_Hall '-I 2 2'
loop_
_atom_site_label
_atom_site_fract_x
_atom_site_fract_y
_atom_site_fract_z
_atom_site_occupancy
Mg1 0.0000 0.0000 0.0000 1
Mn1 0.0000 0.5000 0.2464 1
Ag1 0.0000 0.0000 0.5000 1
```

---

Density functional theory data (GGA-PBE) for a geometry-optimized TaTi3Ir6 structure.

Raw total energy ... -9.558 eV per atom
Volume ... 305.6 Å³ per cell

Cell and atoms, written as CIF:
```
data_TaTi3Ir6
_chemical_formula_sum 'Ta2 Ti6 Ir12'
_cell_length_a 7.5662
_cell_length_b 4.4794
_cell_length_c 9.6451
_cell_angle_alpha 90.00
_cell_angle_beta 110.77
_cell_angle_gamma 90.00
_space_group_name_H-M_alt 'P 1 21/m 1'
_space_group_IT_number 11
loop_
_space_group_symop_operation_xyz
'x,y,z'
'-x,-y,-z'
'-x,y+1/2,-z'
'x,-y+1/2,z'
loop_
_atom_site_label
_atom_site_fract_x
_atom_site_fract_y
_atom_site_fract_z
_atom_site_occupancy
Ta1 0.1293 0.2500 0.0681 1
Ti1 0.0701 0.7500 0.7132 1
Ti2 0.3057 0.7500 0.5268 1
Ti3 0.3335 0.2500 0.8578 1
Ir1 0.0884 0.7500 0.2238 1
Ir2 0.1167 0.2500 0.5785 1
Ir3 0.2891 0.7500 0.0135 1
Ir4 0.3005 0.2500 0.3702 1
Ir5 0.4866 0.7500 0.3274 1
Ir6 0.4969 0.7500 0.8286 1
```

---

Density functional theory data (GGA-PBE) for a geometry-optimized V3Pd13 structure.

Raw total energy ... -6.121 eV per atom
Volume ... 478.8 Å³ per cell

Cell and atoms, written as CIF:
```
data_V3Pd13
_chemical_formula_sum 'V6 Pd26'
_cell_length_a 7.7347
_cell_length_b 7.7375
_cell_length_c 7.9995
_cell_angle_alpha 90.00
_cell_angle_beta 90.00
_cell_angle_gamma 90.00
_space_group_name_H-M_alt 'A m m 2'
_space_group_IT_number 38
loop_
_space_group_symop_operation_xyz
'x,y,z'
'-x,-y,z'
'-x,y,z'
'x,-y,z'
'x,y+1/2,z+1/2'
'-x,-y+1/2,z+1/2'
'-x,y+1/2,z+1/2'
'x,-y+1/2,z+1/2'
loop_
_atom_site_label
_atom_site_fract_x
_atom_site_fract_y
_atom_site_fract_z
_atom_site_occupancy
V1 0.0000 0.0000 0.0000 1
V2 0.2620 0.0000 0.2889 1
Pd1 0.0000 0.0000 0.5248 1
Pd2 0.0000 0.2241 0.2725 1
Pd3 0.2387 0.0000 0.7807 1
Pd4 0.2439 0.2411 0.0308 1
Pd5 0.5000 0.0000 0.0410 1
Pd6 0.5000 0.0000 0.5267 1
Pd7 0.5000 0.2464 0.2831 1
```

---

Density functional theory data (GGA-PBE) for a geometry-optimized LaTiP2O structure.

E above lowest polymorph ... 0.0000 eV/atom
Raw total energy ... -7.156 eV per atom
Volume ... 93.1 Å³ per cell
Formation energy (no corrections) ... -1.44 eV per atom

Cell and atoms, written as CIF:
```
data_LaTiP2O
_chemical_formula_sum 'La1 Ti1 P2 O1'
_cell_length_a 4.9058
_cell_length_b 4.9058
_cell_length_c 3.8689
_cell_angle_alpha 90.00
_cell_angle_beta 90.00
_cell_angle_gamma 90.00
_space_group_name_H-M_alt 'P 4/m m m'
_space_group_IT_number 123
_space_group_name_Hall '-P 4 2'
loop_
_atom_site_label
_atom_site_fract_x
_atom_site_fract_y
_atom_site_fract_z
_atom_site_occupancy
La1 0.0000 0.0000 0.0000 1
Ti1 0.5000 0.5000 0.5000 1
P1 0.0000 0.5000 0.5000 1
O1 0.5000 0.5000 0.0000 1
```

---

Density functional theory data (GGA-PBE) for a geometry-optimized SrNiTe2 structure.

Raw total energy ... -3.774 eV per atom
Volume ... 540.9 Å³ per cell
Formation energy (no corrections) ... -0.34 eV per atom

Cell and atoms, written as CIF:
```
data_SrNiTe2
_chemical_formula_sum 'Sr3 Ni3 Te6'
_cell_length_a 5.0827
_cell_length_b 5.0827
_cell_length_c 24.1785
_cell_angle_alpha 90.00
_cell_angle_beta 90.00
_cell_angle_gamma 120.00
_space_group_name_H-M_alt 'R -3 m'
_space_group_IT_number 166
_space_group_name_Hall '-R 3 2"'
loop_
_atom_site_label
_atom_site_fract_x
_atom_site_fract_y
_atom_site_fract_z
_atom_site_occupancy
Sr1 0.0000 0.0000 0.0000 1
Ni1 0.0000 0.0000 0.5000 1
Te1 0.0000 0.0000 0.4009 1
```

---

Density functional theory data (GGA-PBE) for a geometry-optimized MnFeMo4 structure.

Raw total energy ... -9.657 eV per atom
Volume ... 390.7 Å³ per cell

Cell and atoms, written as CIF:
```
data_MnFeMo4
_chemical_formula_sum 'Mn4 Fe4 Mo16'
_cell_length_a 7.3107
_cell_length_b 7.3107
_cell_length_c 7.3107
_cell_angle_alpha 90.00
_cell_angle_beta 90.00
_cell_angle_gamma 90.00
_space_group_name_H-M_alt 'F -4 3 m'
_space_group_IT_number 216
_space_group_name_Hall 'F -4 2 3'
loop_
_atom_site_label
_atom_site_fract_x
_atom_site_fract_y
_atom_site_fract_z
_atom_site_occupancy
Mn1 0.0000 0.0000 0.0000 1
Fe1 0.2500 0.2500 0.7500 1
Mo1 0.1248 0.1248 0.3752 1
```

---

Density functional theory data (GGA-PBE) for a geometry-optimized Tm4ReTe structure.

Raw total energy ... -6.068 eV per atom
Volume ... 635.0 Å³ per cell
Formation energy (no corrections) ... -0.49 eV per atom

Cell and atoms, written as CIF:
```
data_Tm4ReTe
_chemical_formula_sum 'Tm16 Re4 Te4'
_cell_length_a 7.7806
_cell_length_b 4.2347
_cell_length_c 19.2724
_cell_angle_alpha 90.00
_cell_angle_beta 90.00
_cell_angle_gamma 90.00
_space_group_name_H-M_alt 'P n m a'
_space_group_IT_number 62
loop_
_space_group_symop_operation_xyz
'x,y,z'
'-x,-y,-z'
'-x+1/2,-y,z+1/2'
'x+1/2,y,-z+1/2'
'x+1/2,-y+1/2,-z+1/2'
'-x+1/2,y+1/2,z+1/2'
'-x,y+1/2,-z'
'x,-y+1/2,z'
loop_
_atom_site_label
_atom_site_fract_x
_atom_site_fract_y
_atom_site_fract_z
_atom_site_occupancy
Tm1 0.0009 0.2500 0.0649 1
Tm2 0.0819 0.2500 0.7950 1
Tm3 0.1053 0.2500 0.3605 1
Tm4 0.1432 0.2500 0.5372 1
Re1 0.2476 0.2500 0.9389 1
Te1 0.2272 0.2500 0.2000 1
```

---

Taking the records one at a time from the top gives density of states at the Fermi level values of 4.4 7.4 14.5 27.5 5.2 7.0 14.4 18.6 states/eV per cell.